Entry 1:
## LaCeMn4Si4 (PBEsol)

Data for a relaxed LaCeMn4Si4 crystal.

```
LaCeMn4Si4
1.0
-2.2188 0.6868 3.1667
-1.7918 -3.4579 -0.5054
7.1296 -4.5693 5.9864
Mn Ce Si La
4 1 4 1
direct
0.5000 0.0000 0.7562
0.0000 0.5000 0.2438
0.5000 0.0000 0.2438
0.0000 0.5000 0.7562
0.0000 0.0000 0.0000
0.5000 0.5000 0.1204
0.0000 0.0000 0.6302
0.5000 0.5000 0.8796
0.0000 0.0000 0.3698
0.5000 0.5000 0.5000
```

Results
The space-group type is No. 123. The density of states at the Fermi level comes out at 6.4 states/eV per cell. As for the magnetization: 0.6799 μB per atom. As for the total energy: -0.2919 Ha/atom. As for the crystal system: tetragonal.

---

Entry 2:
## LaCeMo12S16 (PBEsol)

Data for a relaxed LaCeMo12S16 crystal.

```
LaCeMo12S16
1.0
6.4246 0.0182 0.0168
0.1448 6.4229 0.0156
0.2972 0.2958 12.8457
Mo S Ce La
12 16 1 1
direct
0.2239 0.4172 0.2802
0.7787 0.5780 0.2166
0.5792 0.4384 0.8902
0.5623 0.2252 0.7114
0.4188 0.5655 0.6130
0.4351 0.7798 0.7918
0.4208 0.5616 0.1098
0.4377 0.7748 0.2886
0.5649 0.2202 0.2082
0.7761 0.5828 0.7198
0.5812 0.4345 0.3870
0.2213 0.4220 0.7834
0.6279 0.8717 0.1210
0.8724 0.2467 0.8145
0.2494 0.6222 0.4359
0.7576 0.7549 0.3769
0.6226 0.8759 0.6258
0.8749 0.2466 0.3107
0.7506 0.3778 0.5641
0.1251 0.7534 0.6893
0.2424 0.2451 0.6231
0.3721 0.1283 0.8790
0.2436 0.6279 0.9378
0.1276 0.7533 0.1855
0.3774 0.1241 0.3742
0.7564 0.3721 0.0622
0.7573 0.7600 0.8805
0.2427 0.2400 0.1195
0.0000 0.0000 0.0000
0.0000 0.0000 0.5000
```

Results
The space-group type is No. 2. The density of states at the Fermi level comes out at 13.0 states/eV per cell. As for the magnetization: 0.0061 μB per atom. As for the total energy: -0.3113 Ha/atom. As for the crystal system: triclinic.

---

Entry 3:
## Na2LaCeTi4O12 (PBEsol)

Data for a relaxed Na2LaCeTi4O12 crystal.

```
Na2LaCeTi4O12
1.0
5.4176 0.0031 0.0022
-2.6880 4.7037 -0.0022
-2.6887 -1.5857 8.8763
O Ti Ce La Na
12 4 1 1 2
direct
0.3781 0.0896 0.2869
0.4300 0.9055 0.0286
0.4400 0.4040 0.5314
0.3162 0.5651 0.2518
0.8117 0.5918 0.2190
0.8028 0.0912 0.7131
0.8726 0.9086 0.4686
0.9332 0.9332 0.0000
0.9527 0.4527 0.5000
0.8769 0.4014 0.9714
0.3133 0.0644 0.7482
0.3727 0.5927 0.7810
0.6212 0.9987 0.8745
0.6264 0.5046 0.3768
0.1279 0.2497 0.6232
0.1242 0.7467 0.1255
0.3766 0.8766 0.5000
0.3737 0.3737 0.0000
0.8777 0.6240 0.7519
0.8722 0.1258 0.2481
```

Results
The space-group type is No. 5. The density of states at the Fermi level comes out at 7.3 states/eV per cell. As for the magnetization: 0.0460 μB per atom. As for the total energy: -0.3155 Ha/atom. As for the crystal system: monoclinic.

---

Entry 4:
## LaCeNi10 (PBEsol)

Data for a relaxed LaCeNi10 crystal.

```
LaCeNi10
1.0
-0.9458 -3.0663 -2.2651
3.7705 -2.4789 1.7814
-4.8874 -3.0248 6.1355
La Ni Ce
1 10 1
direct
0.0000 0.0000 0.5000
0.0000 0.5000 0.6748
0.5000 0.7478 0.2455
0.5000 0.7478 0.7545
0.0000 0.5000 0.3252
0.0000 0.0000 0.8391
0.0000 0.0000 0.1609
0.5000 0.5000 0.5000
0.5000 0.2522 0.7545
0.5000 0.2522 0.2455
0.5000 0.0000 0.0000
0.0000 0.5000 0.0000
```

Results
The space-group type is No. 47. The value obtained for the energy relative to the elements is -347 kJ/mol of formula units. The density of states at the Fermi level comes out at 12.9 states/eV per cell. As for the magnetization: 0.1644 μB per atom. As for the total energy: -0.2362 Ha/atom. As for the crystal system: orthorhombic.

---

Entry 5:
## La2Ce2O7 (PBEsol)

Data for a relaxed La2Ce2O7 crystal.

```
La2Ce2O7
1.0
-7.4360 2.4632 -0.3054
-5.6241 -4.8217 -2.5644
-5.2902 -2.8729 5.0215
O Ce La
14 4 4
direct
0.2794 0.7206 0.7206
0.0000 0.0000 0.0000
0.2794 0.7206 0.2794
0.9706 0.5294 0.9706
0.5294 0.9706 0.9706
0.7206 0.2794 0.2794
0.2500 0.2500 0.2500
0.9706 0.9706 0.5294
0.2794 0.2794 0.7206
0.9706 0.5294 0.5294
0.7206 0.2794 0.7206
0.5294 0.9706 0.5294
0.7206 0.7206 0.2794
0.5294 0.5294 0.9706
0.6250 0.6250 0.6250
0.6250 0.1250 0.6250
0.6250 0.6250 0.1250
0.1250 0.6250 0.6250
0.1250 0.6250 0.1250
0.1250 0.1250 0.1250
0.6250 0.1250 0.1250
0.1250 0.1250 0.6250
```

Results
The space-group type is No. 227. The density of states at the Fermi level comes out at 0.0 states/eV per cell. As for the magnetization: 0.0000 μB per atom. As for the total energy: -0.3291 Ha/atom. As for the crystal system: cubic.

---

Entry 6:
## LaCeOs4 (PBEsol)

Data for a relaxed LaCeOs4 crystal.

```
LaCeOs4
1.0
5.3730 0.0000 0.0000
2.6865 4.6531 0.0000
2.6865 1.5510 4.3870
Os La Ce
4 1 1
direct
0.3751 0.3751 0.3751
0.8746 0.3751 0.3751
0.3751 0.3751 0.8746
0.3751 0.8746 0.3751
0.0000 0.0000 0.0000
0.7500 0.7500 0.7500
```

Results
The space-group type is No. 216. The value obtained for the energy relative to the elements is -59 kJ/mol of formula units. The density of states at the Fermi level comes out at 4.7 states/eV per cell. As for the magnetization: 0.0001 μB per atom. As for the total energy: -0.3762 Ha/atom. As for the crystal system: cubic.

---

Entry 7:
## LaCePd6 (PBEsol)

Data for a relaxed LaCePd6 crystal.

```
LaCePd6
1.0
4.1094 0.0000 0.0000
0.0000 4.1094 0.0000
0.0000 0.0000 8.2217
Pd Ce La
6 1 1
direct
0.0000 0.5000 0.2418
0.0000 0.5000 0.7582
0.5000 0.5000 0.0000
0.5000 0.0000 0.7582
0.5000 0.0000 0.2418
0.5000 0.5000 0.5000
0.0000 0.0000 0.0000
0.0000 0.0000 0.5000
```

Results
The space-group type is No. 123. The value obtained for the energy relative to the elements is -625 kJ/mol of formula units. The density of states at the Fermi level comes out at 3.3 states/eV per cell. As for the magnetization: 0.0248 μB per atom. As for the total energy: -0.2489 Ha/atom. As for the crystal system: tetragonal.

---

Entry 8:
## LaCeRh4 (PBEsol)

Data for a relaxed LaCeRh4 crystal.

```
LaCeRh4
1.0
5.3021 0.0000 0.0000
2.6510 4.5917 0.0000
2.6510 1.5306 4.3291
Rh La Ce
4 1 1
direct
0.6248 0.6248 0.6248
0.6248 0.6248 0.1255
0.1255 0.6248 0.6248
0.6248 0.1255 0.6248
0.0000 0.0000 0.0000
0.2500 0.2500 0.2500
```

Results
The space-group type is No. 216. The value obtained for the energy relative to the elements is -384 kJ/mol of formula units. The density of states at the Fermi level comes out at 5.6 states/eV per cell. As for the magnetization: 0.0000 μB per atom. As for the total energy: -0.2969 Ha/atom. As for the crystal system: cubic.

---

Entry 9:
## LaCeRu4 (PBEsol)

Data for a relaxed LaCeRu4 crystal.

```
LaCeRu4
1.0
5.3129 0.0000 0.0000
2.6565 4.6011 0.0000
2.6565 1.5337 4.3380
Ru La Ce
4 1 1
direct
0.8743 0.3752 0.3752
0.3752 0.3752 0.3752
0.3752 0.8743 0.3752
0.3752 0.3752 0.8743
0.0000 0.0000 0.0000
0.7500 0.7500 0.7500
```

Results
The space-group type is No. 216. The value obtained for the energy relative to the elements is -82 kJ/mol of formula units. The density of states at the Fermi level comes out at 4.4 states/eV per cell. As for the magnetization: 0.0000 μB per atom. As for the total energy: -0.3276 Ha/atom. As for the crystal system: cubic.

---

Entry 10:
## La2CeTe4 (PBEsol)

Data for a relaxed La2CeTe4 crystal.

```
La2CeTe4
1.0
8.1991 0.0082 0.0000
-2.7381 7.7284 0.0000
-2.7305 -3.8683 6.6937
Te La Ce
8 4 2
direct
0.0305 0.2814 0.9030
0.8725 0.9695 0.2509
0.5314 0.7805 0.4030
0.8716 0.4686 0.2491
0.3775 0.1284 0.5970
0.3784 0.1275 0.0970
0.7186 0.6216 0.7491
0.2195 0.6225 0.7509
0.6250 0.9982 0.8732
0.2482 0.3750 0.3732
0.1250 0.7518 0.1268
0.0018 0.8750 0.6268
0.7500 0.2500 0.5000
0.5000 0.5000 0.0000
```

Results
The space-group type is No. 122. The density of states at the Fermi level comes out at 22.9 states/eV per cell. As for the magnetization: 0.2315 μB per atom. As for the total energy: -0.2208 Ha/atom. As for the crystal system: tetragonal.

---

Entry 11:
## La4CeZn5 (PBEsol)

Data for a relaxed La4CeZn5 crystal.

```
La4CeZn5
1.0
-2.2848 -0.1101 -2.8542
2.5766 -1.6571 -1.9987
-6.1670 -16.3015 5.5655
La Zn Ce
4 5 1
direct
0.0000 0.0000 0.6015
0.0000 0.0000 0.8063
0.0000 0.0000 0.1937
0.0000 0.0000 0.3985
0.5000 0.5000 0.7037
0.5000 0.5000 0.0908
0.5000 0.5000 0.5000
0.5000 0.5000 0.9092
0.5000 0.5000 0.2963
0.0000 0.0000 0.0000
```

Results
The space-group type is No. 123. The value obtained for the energy relative to the elements is -237 kJ/mol of formula units. The density of states at the Fermi level comes out at 13.2 states/eV per cell. As for the magnetization: 0.0450 μB per atom. As for the total energy: -0.1409 Ha/atom. As for the crystal system: tetragonal.

---

Entry 12:
## LiCeMg14 (PBEsol)

Data for a relaxed LiCeMg14 crystal.

```
LiCeMg14
1.0
-2.7782 2.7983 -4.9430
4.0844 -4.9507 -1.0540
-7.8179 -6.5910 0.6627
Mg Li Ce
14 1 1
direct
0.1724 0.8594 0.5000
0.1670 0.3339 0.0000
0.6616 0.8322 0.0000
0.8335 0.6670 0.7584
0.8335 0.6670 0.2416
0.3246 0.6493 0.7336
0.6670 0.3340 0.0000
0.6870 0.8594 0.5000
0.3246 0.6493 0.2664
0.8290 0.1596 0.7540
0.3306 0.1596 0.2460
0.1706 0.8322 0.0000
0.8290 0.1596 0.2460
0.3306 0.1596 0.7540
0.1602 0.3204 0.5000
0.6788 0.3576 0.5000
```

Results
The space-group type is No. 38. The value obtained for the energy relative to the elements is 91 kJ/mol of formula units. The density of states at the Fermi level comes out at 14.8 states/eV per cell. As for the magnetization: 0.0860 μB per atom. As for the total energy: -0.0727 Ha/atom. As for the crystal system: orthorhombic.

---

Repeat the fifth record exactly.
## La2Ce2O7 (PBEsol)

Data for a relaxed La2Ce2O7 crystal.

```
La2Ce2O7
1.0
-7.4360 2.4632 -0.3054
-5.6241 -4.8217 -2.5644
-5.2902 -2.8729 5.0215
O Ce La
14 4 4
direct
0.2794 0.7206 0.7206
0.0000 0.0000 0.0000
0.2794 0.7206 0.2794
0.9706 0.5294 0.9706
0.5294 0.9706 0.9706
0.7206 0.2794 0.2794
0.2500 0.2500 0.2500
0.9706 0.9706 0.5294
0.2794 0.2794 0.7206
0.9706 0.5294 0.5294
0.7206 0.2794 0.7206
0.5294 0.9706 0.5294
0.7206 0.7206 0.2794
0.5294 0.5294 0.9706
0.6250 0.6250 0.6250
0.6250 0.1250 0.6250
0.6250 0.6250 0.1250
0.1250 0.6250 0.6250
0.1250 0.6250 0.1250
0.1250 0.1250 0.1250
0.6250 0.1250 0.1250
0.1250 0.1250 0.6250
```

Results
The space-group type is No. 227. The density of states at the Fermi level comes out at 0.0 states/eV per cell. As for the magnetization: 0.0000 μB per atom. As for the total energy: -0.3291 Ha/atom. As for the crystal system: cubic.

---

Repeat the tenth record exactly.
## La2CeTe4 (PBEsol)

Data for a relaxed La2CeTe4 crystal.

```
La2CeTe4
1.0
8.1991 0.0082 0.0000
-2.7381 7.7284 0.0000
-2.7305 -3.8683 6.6937
Te La Ce
8 4 2
direct
0.0305 0.2814 0.9030
0.8725 0.9695 0.2509
0.5314 0.7805 0.4030
0.8716 0.4686 0.2491
0.3775 0.1284 0.5970
0.3784 0.1275 0.0970
0.7186 0.6216 0.7491
0.2195 0.6225 0.7509
0.6250 0.9982 0.8732
0.2482 0.3750 0.3732
0.1250 0.7518 0.1268
0.0018 0.8750 0.6268
0.7500 0.2500 0.5000
0.5000 0.5000 0.0000
```

Results
The space-group type is No. 122. The density of states at the Fermi level comes out at 22.9 states/eV per cell. As for the magnetization: 0.2315 μB per atom. As for the total energy: -0.2208 Ha/atom. As for the crystal system: tetragonal.

---

- total energy of number 2 (LaCeMo12S16)?
  -0.3113 Ha/atom